Entry from the Open Quantum Materials Database: a relaxed NdGdGe2 crystal (PBE-GGA).

Unit cell a=3.3094 b=6.5072 c=6.5072 alpha=54.46 beta=90.00 gamma=90.00
With the nearest neighbours (Å) after each atom.
Fractional positions:
Gd 0.5000 0.1505 0.1505  3 Ge 2.81-3.03
Ge 0.5000 0.3933 0.3933  1 Ge 2.44
Ge 0.5000 0.6041 0.6041  1 Ge 2.44
Nd 0.5000 0.8521 0.8521  3 Ge 2.87-3.02

Output
offset from the most stable computed form = 625 meV per atom
size of the total moment = 0.01 μB per atom



Entry from the Open Quantum Materials Database: a relaxed LiCd2Pt crystal (PBE-GGA).

Unit cell a=3.0015 b=3.0015 c=7.9104 alpha=90.00 beta=90.00 gamma=90.00
With the nearest neighbours (Å) after each atom.
Fractional positions:
Cd 0.5000 0.5000 0.2555  4 Pt 2.87, 4 Li 2.93, 4 Cd 3.00
Cd 0.5000 0.5000 0.7445  4 Pt 2.87, 4 Li 2.93, 4 Cd 3.00
Li 0.0000 0.0000 0.0000  8 Cd 2.93, 4 Li 3.00
Pt 0.0000 0.0000 0.5000  8 Cd 2.87, 4 Pt 3.00

Output
offset from the most stable computed form = 151 meV per atom
size of the total moment = 0.00 μB per atom



Entry from the Open Quantum Materials Database: a relaxed In2Ni3 crystal (PBE-GGA).

Unit cell a=6.3761 b=6.3761 c=6.0092 alpha=122.04 beta=57.96 gamma=120.00
With the nearest neighbours (Å) after each atom.
Fractional positions:
In 0.5993 0.4007 0.2020  6 Ni 2.54-2.59, 1 In 2.83
In 0.9007 0.0993 0.2980  6 Ni 2.54-2.59, 1 In 2.83
In 0.0993 0.9007 0.7020  6 Ni 2.54-2.59, 1 In 2.83
In 0.4007 0.5993 0.7980  6 Ni 2.54-2.59, 1 In 2.83
Ni 0.4779 0.7500 0.2500  2 Ni 2.52, 4 In 2.54-2.59
Ni 0.0221 0.5221 0.2500  2 Ni 2.52, 4 In 2.54-2.59
Ni 0.2500 0.9779 0.2500  2 Ni 2.52, 4 In 2.54-2.59
Ni 0.9779 0.4779 0.7500  2 Ni 2.52, 4 In 2.54-2.59
Ni 0.5221 0.2500 0.7500  2 Ni 2.52, 4 In 2.54-2.59
Ni 0.7500 0.0221 0.7500  2 Ni 2.52, 4 In 2.54-2.59

Output
size of the total moment = 0.00 μB per atom



Entry from the Open Quantum Materials Database: a relaxed NaHfB4 crystal (PBE-GGA).

Unit cell a=3.1336 b=3.1336 c=7.6620 alpha=90.00 beta=90.00 gamma=120.00
With the nearest neighbours (Å) after each atom.
Fractional positions:
B 0.6667 0.3333 0.2211  3 B 1.81
B 0.3333 0.6667 0.2211  3 B 1.81
B 0.6667 0.3333 0.7789  3 B 1.81
B 0.3333 0.6667 0.7789  3 B 1.81
Hf 0.0000 0.0000 0.0000  12 B 2.48
Na 0.0000 0.0000 0.5000  12 B 2.80, 6 Na 3.13

Output
offset from the most stable computed form = 0 meV per atom
size of the total moment = 0.00 μB per atom



Entry from the Open Quantum Materials Database: a relaxed Mo4PC2S crystal (PBE-GGA).

Unit cell a=3.2454 b=3.2454 c=11.4457 alpha=90.00 beta=90.00 gamma=120.00
With the nearest neighbours (Å) after each atom.
Fractional positions:
C 0.3333 0.6667 0.2524  6 Mo 2.09-2.24
C 0.3333 0.6667 0.7476  6 Mo 2.09-2.24
Mo 0.6667 0.3333 0.1459  3 C 2.24
Mo 0.0000 0.0000 0.3331  3 C 2.09
Mo 0.0000 0.0000 0.6669  3 C 2.09
Mo 0.6667 0.3333 0.8541  3 C 2.24
P 0.0000 0.0000 0.0000  6 Mo 2.51
S 0.6667 0.3333 0.5000  6 Mo 2.68

Output
size of the total moment = 0.00 μB per atom



Entry from the Open Quantum Materials Database: a relaxed ZnCdCuSn crystal (PBE-GGA).

Unit cell a=4.7653 b=4.7653 c=4.7653 alpha=60.00 beta=60.00 gamma=60.00
With the nearest neighbours (Å) after each atom.
Fractional positions:
Cd 0.5000 0.5000 0.5000  4 Cu 2.92, 4 Zn 2.92
Cu 0.7500 0.7500 0.7500  4 Cd 2.92, 4 Sn 2.92
Sn 0.0000 0.0000 0.0000  4 Zn 2.92, 4 Cu 2.92
Zn 0.2500 0.2500 0.2500  4 Sn 2.92, 4 Cd 2.92

Output
offset from the most stable computed form = 0 meV per atom



Entry from the Open Quantum Materials Database: a relaxed MgAlCdCu crystal (PBE-GGA).

Unit cell a=4.5910 b=4.5910 c=4.5910 alpha=60.00 beta=60.00 gamma=60.00
With the nearest neighbours (Å) after each atom.
Fractional positions:
Al 0.0000 0.0000 0.0000  4 Cd 2.81, 4 Cu 2.81
Cd 0.2500 0.2500 0.2500  4 Mg 2.81, 4 Al 2.81
Cu 0.7500 0.7500 0.7500  4 Mg 2.81, 4 Al 2.81
Mg 0.5000 0.5000 0.5000  4 Cd 2.81, 4 Cu 2.81

Output
offset from the most stable computed form = 0 meV per atom



Entry from the Open Quantum Materials Database: a relaxed RbBeIr crystal (PBE-GGA).

Unit cell a=4.7245 b=4.7245 c=4.7245 alpha=60.00 beta=60.00 gamma=60.00
With the nearest neighbours (Å) after each atom.
Fractional positions:
Be 0.2500 0.2500 0.2500  4 Rb 2.89
Ir 0.7500 0.7500 0.7500  4 Rb 2.89
Rb 0.0000 0.0000 0.0000  4 Ir 2.89, 4 Be 2.89

Output
offset from the most stable computed form = 1079 meV per atom
size of the total moment = 0.00 μB per atom



Number 1: E -4.63 eV/atom. Number 2: E -2.73 eV/atom. Number 3: E -4.13 eV/atom. Number 4: E -6.70 eV/atom. Number 5: E -9.06 eV/atom. Number 6: E -2.29 eV/atom. Number 7: E -2.45 eV/atom. Number 8: E -2.07 eV/atom.